No. 1
A plane-wave DFT calculation with GGA-PBEsol was carried out for a relaxed structure of Rb2LaNbMo.

Geometry as extended XYZ:
```
5
Lattice="6.4514 0.0000 0.0000 0.0000 6.4514 0.0000 0.0000 0.0000 4.9975" Properties=species:S:1:pos:R:3 pbc="T T T"
Rb 0.0000 3.2257 0.0000
Rb 3.2257 0.0000 0.0000
La 0.0000 0.0000 0.0000
Nb 0.0000 0.0000 2.4988
Mo 3.2257 3.2257 2.4988
```

Computed properties:
total magnetization	3.34	μB/f.u.
formation energy from the elements	2.2532	eV/atom

=====

No. 2
A plane-wave DFT calculation with GGA-PBEsol was carried out for a relaxed structure of La2NiMo.

Geometry as extended XYZ:
```
4
Lattice="3.4005 0.0000 0.0000 0.0000 3.4005 0.0000 0.0000 0.0000 7.9530" Properties=species:S:1:pos:R:3 pbc="T T T"
La 0.0000 0.0000 0.0000
La 1.7002 1.7002 3.2339
Ni 1.7002 1.7002 6.1764
Mo 0.0000 0.0000 5.3406
```

Computed properties:
total magnetization	0.00	μB/f.u.
formation energy from the elements	0.2432	eV/atom

=====

No. 3
A plane-wave DFT calculation with GGA-PBEsol was carried out for a relaxed structure of La2NiMo.

Geometry as extended XYZ:
```
8
Lattice="4.1323 0.0000 0.0000 0.0000 4.1323 0.0000 0.0000 0.0000 9.7041" Properties=species:S:1:pos:R:3 pbc="T T T"
La 0.0000 0.0000 0.0000
La 0.0000 2.0661 2.4260
La 2.0661 0.0000 7.2781
La 2.0661 2.0661 4.8521
Ni 0.0000 2.0661 7.2781
Ni 2.0661 0.0000 2.4260
Mo 0.0000 0.0000 4.8521
Mo 2.0661 2.0661 0.0000
```

Computed properties:
total magnetization	0.00	μB/f.u.
formation energy from the elements	0.4232	eV/atom

=====

No. 4
A plane-wave DFT calculation with GGA-PBEsol was carried out for a relaxed structure of La2NiMo.

Geometry as extended XYZ:
```
8
Lattice="3.4382 0.0000 0.0000 0.0000 4.7197 0.0000 0.0000 0.0000 10.9423" Properties=species:S:1:pos:R:3 pbc="T T T"
La 0.0000 0.0000 0.0000
La 0.0000 2.3598 2.2810
La 1.7191 0.0000 7.7521
La 1.7191 2.3598 5.4712
Ni 0.0000 0.0000 4.6717
Ni 1.7191 2.3598 10.1428
Mo 0.0000 2.3598 8.4903
Mo 1.7191 0.0000 3.0192
```

Computed properties:
total magnetization	0.00	μB/f.u.
formation energy from the elements	0.2406	eV/atom

=====

No. 5
A plane-wave DFT calculation with GGA-PBEsol was carried out for a relaxed structure of La4NiMo.

Geometry as extended XYZ:
```
6
Lattice="0.0000 4.2741 4.2741 4.2741 0.0000 4.2741 4.2741 4.2741 0.0000" Properties=species:S:1:pos:R:3 pbc="T T T"
La 1.0688 1.0688 1.0688
La 3.2053 3.2053 1.0688
La 3.2053 1.0688 3.2053
La 1.0688 3.2053 3.2053
Ni 6.4111 6.4111 6.4111
Mo 4.2741 4.2741 4.2741
```

Computed properties:
total magnetization	0.90	μB/f.u.
formation energy from the elements	1.1143	eV/atom

=====

No. 6
A plane-wave DFT calculation with GGA-PBEsol was carried out for a relaxed structure of La3NiMo.

Geometry as extended XYZ:
```
5
Lattice="5.2117 0.0000 0.0000 0.0000 5.2117 0.0000 0.0000 0.0000 5.2117" Properties=species:S:1:pos:R:3 pbc="T T T"
La 0.0000 0.0000 2.6059
La 0.0000 2.6059 0.0000
La 2.6059 0.0000 0.0000
Ni 0.0000 0.0000 0.0000
Mo 2.6059 2.6059 2.6059
```

Computed properties:
total magnetization	1.94	μB/f.u.
formation energy from the elements	0.6565	eV/atom

=====

No. 7
A plane-wave DFT calculation with GGA-PBEsol was carried out for a relaxed structure of LaNiMo.

Geometry as extended XYZ:
```
12
Lattice="6.3267 0.0000 0.0000 0.0000 6.3267 0.0000 0.0000 0.0000 6.3267" Properties=species:S:1:pos:R:3 pbc="T T T"
La 0.0000 0.0000 0.0000
La 0.0000 3.1634 3.1634
La 3.1634 0.0000 3.1634
La 3.1634 3.1634 0.0000
Ni 1.5817 1.5817 1.5817
Ni 1.5817 4.7450 4.7450
Ni 4.7450 1.5817 4.7450
Ni 4.7450 4.7450 1.5817
Mo 0.0000 0.0000 3.1634
Mo 0.0000 3.1634 0.0000
Mo 3.1634 0.0000 0.0000
Mo 3.1634 3.1634 3.1634
```

Computed properties:
total magnetization	2.72	μB/f.u.
formation energy from the elements	0.7696	eV/atom

=====

No. 8
A plane-wave DFT calculation with GGA-PBEsol was carried out for a relaxed structure of La2Mo2O9.

Geometry as extended XYZ:
```
26
Lattice="6.7950 0.0000 0.0000 0.9305 7.0939 0.0000 1.2780 1.0510 7.6496" Properties=species:S:1:pos:R:3 pbc="T T T"
La 0.0000 0.0000 0.0000
La 1.2488 1.3193 4.2100
La 4.6076 2.5456 5.7607
La 6.2383 4.8842 3.0891
Mo 2.6548 4.5828 3.1358
Mo 2.6336 3.7075 0.7398
Mo 4.7861 1.8386 2.1329
Mo 7.9168 5.0248 6.6102
O 1.7237 6.3130 5.6037
O 1.4924 3.9379 4.4838
O 1.2665 3.6028 2.0544
O 1.7887 6.1325 2.7020
O 2.5930 3.9551 7.0660
O 2.6660 1.3969 5.9316
O 3.9908 6.2340 7.5269
O 3.2946 2.1808 3.2670
O 4.0967 5.9092 3.9543
O 4.1326 4.5961 4.5238
O 3.4433 1.9798 0.5765
O 4.2122 4.0927 1.9340
O 5.9702 7.1940 2.1965
O 6.3096 4.5732 6.0255
O 5.8760 2.4633 3.5012
O 6.6154 1.5726 6.0521
O 5.9566 2.2111 0.8264
O 6.4490 4.9712 0.4436
```

Computed properties:
total magnetization	0.00	μB/f.u.
electronic total energy	-226.80	eV for the cell shown

=====

No. 9
A plane-wave DFT calculation with GGA-PBEsol was carried out for a relaxed structure of La3MoO7.

Geometry as extended XYZ:
```
44
Lattice="7.5450 0.0000 0.0000 0.0000 7.6410 0.0000 0.0000 0.0000 11.0335" Properties=species:S:1:pos:R:3 pbc="T T T"
La 0.1975 0.0521 2.7182
La 1.4370 1.9183 5.7472
La 1.4857 1.8890 10.6845
La 2.2868 5.7520 5.1678
La 2.3355 5.7228 0.2305
La 3.5750 7.5889 8.2349
La 3.9700 3.7684 8.3154
La 5.2095 1.9023 5.2863
La 5.2582 1.9315 0.3490
La 6.0592 5.7095 5.8657
La 6.1080 5.7388 10.8031
La 7.3474 3.8726 2.7986
Mo 0.0153 3.8347 8.2703
Mo 3.7572 3.8063 2.7535
Mo 3.7878 7.6268 2.7632
Mo 7.5297 0.0142 8.2800
O 0.1275 5.7945 4.1975
O 0.2885 5.7059 1.3133
O 0.4084 1.9335 8.1898
O 1.0866 4.1663 6.7402
O 1.3857 7.3826 6.9243
O 1.4489 4.0673 9.5780
O 1.5701 7.3869 9.6056
O 2.2024 0.2541 4.0889
O 2.3236 3.5737 4.0612
O 2.3868 0.2584 1.4075
O 2.6859 3.4747 1.2235
O 3.3641 5.7075 2.6731
O 3.4839 1.9351 6.8301
O 3.6450 1.8465 9.7142
O 3.9000 5.6670 6.8361
O 4.0610 5.7556 9.7202
O 4.1809 1.8870 2.8437
O 4.8590 7.2952 4.2933
O 5.1581 4.0789 4.1092
O 5.2214 7.3942 1.4555
O 5.3425 4.0746 1.4279
O 5.9749 3.5664 6.9446
O 6.0961 0.2468 6.9723
O 6.1593 3.5621 9.6260
O 6.4584 0.3458 9.8101
O 7.1366 5.7540 8.3605
O 7.2564 1.8854 4.2034
O 7.4175 1.9740 1.3193
```

Computed properties:
total magnetization	0.38	μB/f.u.
electronic total energy	-393.55	eV for the cell shown

=====

No. 10
A plane-wave DFT calculation with GGA-PBEsol was carried out for a relaxed structure of La2MoO5.

Geometry as extended XYZ:
```
16
Lattice="-4.4276 4.4276 3.0127 4.4276 -4.4276 3.0127 4.4276 4.4276 -3.0127" Properties=species:S:1:pos:R:3 pbc="T T T"
La 2.8409 0.9677 0.0000
La 3.4599 -1.5868 3.0127
La 0.9677 6.0144 0.0000
La 1.5868 3.4599 3.0127
Mo 0.0000 0.0000 1.7947
Mo 0.0000 0.0000 4.2308
O 3.5971 2.7506 -1.6076
O 1.6770 -0.8306 1.4051
O 4.4276 0.0000 1.5064
O 2.7506 5.2582 -1.6076
O 0.8306 1.6770 1.4051
O 3.5971 2.7506 1.6076
O 1.6770 -0.8306 4.6204
O 0.0000 4.4276 1.5064
O 2.7506 5.2582 1.6076
O 0.8306 1.6770 4.6204
```

Computed properties:
total magnetization	0.89	μB/f.u.
electronic total energy	-144.29	eV for the cell shown